Density functional theory data (GGA-PBE) for crystalline Nd2Y2Ni15 at its relaxed geometry.

Lattice parameters (Å, degrees): 8.6169 8.6169 12.6632 90.00 90.00 120.00
Space group R-3m (No. 166, hexagonal axes)
One atom of each set of equivalent atoms:
Nd 0.0000 0.0000 0.1120 x6
Y 0.0000 0.0000 0.3634 x6
Ni 0.0000 0.3197 0.0000 x18
Ni 0.0000 0.5000 0.5000 x9
Ni 0.0151 0.5076 0.1584 x18

Properties
ΔE_f   -0.16 eV/atom
VASP energy   -5.908 eV per atom
Size of the total moment   0.120 μB/atom
N(E_F)   1.277 states/eV per atom


Density functional theory data (GGA-PBE) for crystalline Tb7PmSm3 at its relaxed geometry.

Lattice parameters (Å, degrees): 6.9920 5.5780 10.0334 90.00 110.22 90.00
Space group P2/m (No. 10)
One atom of each set of equivalent atoms:
Tb 0.0000 0.0000 0.0000 x1
Tb 0.1453 0.5000 0.2892 x2
Tb 0.3201 0.5000 0.6397 x2
Tb 0.4165 0.0000 0.8300 x2
Pm 0.0000 0.0000 0.5000 x1
Sm 0.2814 0.5000 0.9995 x2
Sm 0.5000 0.0000 0.5000 x1

Properties
ΔE_f   0.14 eV/atom
Energy relative to the lowest polymorph listed for this composition   0.000 eV per atom
VASP energy   -4.528 eV per atom
Size of the total moment   0.000 μB/atom
N(E_F)   1.500 states/eV per atom


Q: What is the size of the total moment in the second record?
A: 0.000 μB/atom


Q: Among the records above, which one has the lowest ΔE_f?
A: Nd2Y2Ni15


Q: size of the total moment of number 2 (Tb7PmSm3)?
A: 0.000 μB/atom